Record 1
DFT (GGA-PBE) results for a relaxed structure of MgTa2In.

Its energy of formation is 69.9 kJ/mol of formula units. For the total magnetization, the calculation gives 0.000 μB/f.u.

Cell: 3.9412 4.1647 4.6552 Å, 90.00 90.00 90.00°
Space group Pmmm (No. 47)
Symmetry-distinct sites (fractional):
Mg 0.0000 0.0000 0.0000
Ta 0.0000 0.5000 0.5000
Ta 0.5000 0.0000 0.5000
In 0.5000 0.5000 0.0000

***

Record 2
DFT (GGA-PBE) results for a relaxed structure of MgTa2In.

Its energy of formation is 115.0 kJ/mol of formula units. For the total magnetization, the calculation gives 0.000 μB/f.u.

Cell: 3.3519 4.9486 9.4831 Å, 90.00 90.00 90.00°
Space group Imm2 (No. 44)
Symmetry-distinct sites (fractional):
Mg 0.0000 0.0000 0.0000
Ta 0.0000 0.0000 0.4837
Ta 0.0000 0.5000 0.7612
In 0.0000 0.5000 0.2457

***

Record 3
DFT (GGA-PBE) results for a relaxed structure of MgTa2In.

Its energy of formation is 57.5 kJ/mol of formula units. For the total magnetization, the calculation gives 0.000 μB/f.u.

Cell: 3.5222 3.5222 6.4817 Å, 90.00 90.00 90.00°
Space group P4mm (No. 99)
Symmetry-distinct sites (fractional):
Mg 0.0000 0.0000 0.0000
Ta 0.0000 0.0000 0.4553
Ta 0.5000 0.5000 0.2728
In 0.5000 0.5000 0.7424

***

Record 4
DFT (GGA-PBE) results for a relaxed structure of MgTa2In.

Its energy of formation is 65.3 kJ/mol of formula units. For the total magnetization, the calculation gives 0.000 μB/f.u.

Cell: 4.0589 4.0589 9.2576 Å, 90.00 90.00 90.00°
Space group I4/mmm (No. 139)
Symmetry-distinct sites (fractional):
Mg 0.0000 0.0000 0.0000
Ta 0.0000 0.5000 0.2500
In 0.0000 0.0000 0.5000

***

Record 5
DFT (GGA-PBE) results for a relaxed structure of MgTaIn2.

Its energy of formation is 115.1 kJ/mol of formula units. For the total magnetization, the calculation gives 0.000 μB/f.u.

Cell: 3.2498 5.2246 10.0084 Å, 90.00 90.00 90.00°
Space group Immm (No. 71)
Symmetry-distinct sites (fractional):
Mg 0.0000 0.0000 0.0000
Ta 0.0000 0.0000 0.5000
In 0.0000 0.5000 0.2451

***

Record 6
DFT (GGA-PBE) results for a relaxed structure of MgTaIn3.

Its energy of formation is 334.0 kJ/mol of formula units. The energy above the most stable polymorph in this dataset is 0.0 kJ per mole of atoms. For the total magnetization, the calculation gives 0.000 μB/f.u.

Cell: 5.4219 5.4219 5.4219 Å, 90.00 90.00 90.00°
Space group Pm-3m (No. 221)
Symmetry-distinct sites (fractional):
Mg 0.0000 0.0000 0.0000
Ta 0.5000 0.5000 0.5000
In 0.0000 0.5000 0.5000

***

Record 7
DFT (GGA-PBE) results for a relaxed structure of MgTaIn3.

Its energy of formation is 629.0 kJ/mol of formula units. The energy above the most stable polymorph in this dataset is 59.0 kJ per mole of atoms. For the total magnetization, the calculation gives 0.000 μB/f.u.

Cell: 5.1447 5.1447 5.1447 Å, 90.00 90.00 90.00°
Space group Pm-3m (No. 221)
Symmetry-distinct sites (fractional):
Mg 0.0000 0.0000 0.0000
Ta 0.5000 0.5000 0.5000
In 0.0000 0.0000 0.5000

***

Record 8
DFT (GGA-PBE) results for a relaxed structure of MgTaIn2.

Its energy of formation is 93.8 kJ/mol of formula units. For the total magnetization, the calculation gives 0.004 μB/f.u.

Cell: 3.0148 4.7166 5.9450 Å, 90.00 90.06 90.00°
Space group P2/m (No. 10)
Symmetry-distinct sites (fractional):
Mg 0.0000 0.0000 0.0000
Ta 0.5000 0.0000 0.5000
In 0.0037 0.5000 0.7366

***

Record 9
DFT (GGA-PBE) results for a relaxed structure of MgTa2In.

Its energy of formation is 73.0 kJ/mol of formula units. For the total magnetization, the calculation gives 0.000 μB/f.u.

Cell: 2.9227 2.9227 9.2619 Å, 90.00 90.00 90.00°
Space group P4mm (No. 99)
Symmetry-distinct sites (fractional):
Mg 0.0000 0.0000 0.0000
Ta 0.0000 0.0000 0.4902
Ta 0.5000 0.5000 0.2481
In 0.5000 0.5000 0.7375

***

Record 10
DFT (GGA-PBE) results for a relaxed structure of MgTaIn4.

Its energy of formation is 294.9 kJ/mol of formula units. For the total magnetization, the calculation gives 0.483 μB/f.u.

Cell: 8.1748 8.1748 8.1748 Å, 90.00 90.00 90.00°
Space group F-43m (No. 216)
Symmetry-distinct sites (fractional):
Mg 0.0000 0.0000 0.0000
Ta 0.2500 0.2500 0.7500
In 0.1249 0.1249 0.3751

***

Record 11
DFT (GGA-PBE) results for a relaxed structure of Mg2TaIn.

Its energy of formation is 107.2 kJ/mol of formula units. For the total magnetization, the calculation gives 0.000 μB/f.u.

Cell: 4.1039 4.1039 9.7286 Å, 90.00 90.00 90.00°
Space group I4/mmm (No. 139)
Symmetry-distinct sites (fractional):
Mg 0.0000 0.5000 0.2500
Ta 0.0000 0.0000 0.0000
In 0.0000 0.0000 0.5000

***

Record 12
DFT (GGA-PBE) results for a relaxed structure of MgTaIn2.

Its energy of formation is 95.0 kJ/mol of formula units. For the total magnetization, the calculation gives 0.000 μB/f.u.

Cell: 10.0047 3.0847 5.6168 Å, 90.00 100.84 90.00°
Space group C2/m (No. 12)
Symmetry-distinct sites (fractional):
Mg 0.0000 0.0000 0.0000
Ta 0.0000 0.5000 0.5000
In 0.2475 0.0000 0.7375

***

Record 13
DFT (GGA-PBE) results for a relaxed structure of MgTa2In.

Its energy of formation is 93.1 kJ/mol of formula units. For the total magnetization, the calculation gives 0.000 μB/f.u.

Cell: 9.9201 2.9677 5.4123 Å, 90.00 99.32 90.00°
Space group Cm (No. 8)
Symmetry-distinct sites (fractional):
Mg 0.0000 0.0000 0.0000
Ta 0.2588 0.5000 0.2927
Ta 0.4928 0.0000 0.4824
In 0.2430 0.0000 0.7785

***

Record 14
DFT (GGA-PBE) results for a relaxed structure of Mg2TaIn.

Its energy of formation is 53.5 kJ/mol of formula units. For the total magnetization, the calculation gives 0.000 μB/f.u.

Cell: 2.9723 2.9723 9.4144 Å, 90.00 90.00 90.00°
Space group P4/mmm (No. 123)
Symmetry-distinct sites (fractional):
Mg 0.0000 0.0000 0.2337
Ta 0.5000 0.5000 0.0000
In 0.5000 0.5000 0.5000

***

Record 15
DFT (GGA-PBE) results for a relaxed structure of MgTaIn2.

Its energy of formation is 52.9 kJ/mol of formula units. For the total magnetization, the calculation gives 0.000 μB/f.u.

Cell: 3.0198 3.0198 9.1708 Å, 90.00 90.00 90.00°
Space group P4/mmm (No. 123)
Symmetry-distinct sites (fractional):
Mg 0.0000 0.0000 0.0000
Ta 0.0000 0.0000 0.5000
In 0.5000 0.5000 0.2579

***

Record 16
DFT (GGA-PBE) results for a relaxed structure of YMgTa2In.

Its energy of formation is 612.2 kJ/mol of formula units. For the total magnetization, the calculation gives 0.003 μB/f.u.

Cell: 5.1908 5.1908 4.9477 Å, 90.00 90.00 90.00°
Space group P4/mmm (No. 123)
Symmetry-distinct sites (fractional):
Y 0.0000 0.0000 0.0000
Mg 0.5000 0.5000 0.0000
Ta 0.0000 0.5000 0.5000
In 0.5000 0.5000 0.5000

***

Record 17
DFT (GGA-PBE) results for a relaxed structure of Tb6MgIn.

Its energy of formation is -92.0 kJ/mol of formula units. The energy above the most stable polymorph in this dataset is 0.0 kJ per mole of atoms. For the total magnetization, the calculation gives 0.007 μB/f.u.

Cell: 4.8970 4.8970 9.7817 Å, 90.00 90.00 90.00°
Space group P4/mmm (No. 123)
Symmetry-distinct sites (fractional):
Tb 0.0000 0.0000 0.0000
Tb 0.0000 0.0000 0.5000
Tb 0.0000 0.5000 0.2475
Mg 0.5000 0.5000 0.5000
In 0.5000 0.5000 0.0000

***

Record 18
DFT (GGA-PBE) results for a relaxed structure of TbMg3In.

Its energy of formation is 64.2 kJ/mol of formula units. For the total magnetization, the calculation gives 0.000 μB/f.u.

Cell: 7.5613 7.5613 8.4423 Å, 90.00 90.00 120.00°
Space group R3m (No. 160, hexagonal axes)
Symmetry-distinct sites (fractional):
Tb 0.0000 0.0000 0.0000
Mg 0.0746 0.5373 0.0165
In 0.0000 0.0000 0.6351

***

Record 19
DFT (GGA-PBE) results for a relaxed structure of Tb4Mg2In.

Its energy of formation is -11.1 kJ/mol of formula units. The energy above the most stable polymorph in this dataset is 0.0 kJ per mole of atoms. For the total magnetization, the calculation gives 0.001 μB/f.u.

Cell: 5.2855 5.2855 25.4360 Å, 90.00 90.00 120.00°
Space group R-3m (No. 166, hexagonal axes)
Symmetry-distinct sites (fractional):
Tb 0.0000 0.0000 0.1165
Tb 0.0000 0.0000 0.3704
Mg 0.0000 0.0000 0.2446
In 0.0000 0.0000 0.5000

***

Record 20
DFT (GGA-PBE) results for a relaxed structure of Tb8Mg2In.

Its energy of formation is 56.4 kJ/mol of formula units. For the total magnetization, the calculation gives 0.001 μB/f.u.

Cell: 8.7809 15.2136 5.5107 Å, 90.00 114.51 90.00°
Space group C2/m (No. 12)
Symmetry-distinct sites (fractional):
Tb 0.0000 0.2114 0.0000
Tb 0.1004 0.5000 0.7995
Tb 0.2089 0.1132 0.6285
Mg 0.0000 0.3059 0.5000
In 0.0000 0.0000 0.0000

***

Record 21
DFT (GGA-PBE) results for a relaxed structure of Tb3MgIn2.

Its energy of formation is -208.4 kJ/mol of formula units. The energy above the most stable polymorph in this dataset is 2.0 kJ per mole of atoms. For the total magnetization, the calculation gives 0.000 μB/f.u.

Cell: 3.7688 3.7688 11.3775 Å, 90.00 90.00 90.00°
Space group P4/mmm (No. 123)
Symmetry-distinct sites (fractional):
Tb 0.0000 0.0000 0.0000
Tb 0.0000 0.0000 0.3363
Mg 0.5000 0.5000 0.5000
In 0.5000 0.5000 0.1726

***

Record 22
DFT (GGA-PBE) results for a relaxed structure of Tb4MgIn2.

Its energy of formation is -167.8 kJ/mol of formula units. The energy above the most stable polymorph in this dataset is 0.0 kJ per mole of atoms. For the total magnetization, the calculation gives 0.001 μB/f.u.

Cell: 5.2773 5.2773 25.3462 Å, 90.00 90.00 120.00°
Space group R-3m (No. 166, hexagonal axes)
Symmetry-distinct sites (fractional):
Tb 0.0000 0.0000 0.1156
Tb 0.0000 0.0000 0.3692
Mg 0.0000 0.0000 0.5000
In 0.0000 0.0000 0.2444

***

Record 23
DFT (GGA-PBE) results for a relaxed structure of TbMgIn.

Its energy of formation is -66.6 kJ/mol of formula units. For the total magnetization, the calculation gives 0.324 μB/f.u.

Cell: 3.4392 3.4392 13.0255 Å, 90.00 90.00 90.00°
Space group I4mm (No. 107)
Symmetry-distinct sites (fractional):
Tb 0.0000 0.0000 0.0000
Mg 0.0000 0.0000 0.6818
In 0.0000 0.0000 0.3312

***

Record 24
DFT (GGA-PBE) results for a relaxed structure of TbMgIn.

Its energy of formation is -92.5 kJ/mol of formula units. For the total magnetization, the calculation gives 0.000 μB/f.u.

Cell: 4.5732 14.7818 4.5231 Å, 90.00 90.00 90.00°
Space group Cmmm (No. 65)
Symmetry-distinct sites (fractional):
Tb 0.0000 0.1629 0.0000
Mg 0.0000 0.0000 0.5000
Mg 0.0000 0.5000 0.0000
In 0.0000 0.3393 0.5000

***

Record 25
DFT (GGA-PBE) results for a relaxed structure of Tb4Mg2In.

Its energy of formation is 127.0 kJ/mol of formula units. The energy above the most stable polymorph in this dataset is 19.7 kJ per mole of atoms. For the total magnetization, the calculation gives 0.000 μB/f.u.

Cell: 5.2310 5.2310 28.3563 Å, 90.00 90.00 120.00°
Space group R-3m (No. 166, hexagonal axes)
Symmetry-distinct sites (fractional):
Tb 0.0000 0.0000 0.1265
Tb 0.0000 0.0000 0.2917
Mg 0.0000 0.0000 0.4039
In 0.0000 0.0000 0.5000

***

Record 26
DFT (GGA-PBE) results for a relaxed structure of Tb3MgIn2.

Its energy of formation is -220.1 kJ/mol of formula units. The energy above the most stable polymorph in this dataset is 0.0 kJ per mole of atoms. For the total magnetization, the calculation gives 0.000 μB/f.u.

Cell: 5.3345 5.3345 13.0504 Å, 90.00 90.00 120.00°
Space group P-3m1 (No. 164)
Symmetry-distinct sites (fractional):
Tb 0.0000 0.0000 0.2483
Tb 0.3333 0.6667 0.4188
Tb 0.3333 0.6667 0.9193
Mg 0.3333 0.6667 0.6683
In 0.0000 0.0000 0.0000
In 0.0000 0.0000 0.5000
In 0.3333 0.6667 0.1754

***

Record 27
DFT (GGA-PBE) results for a relaxed structure of Tb3Mg4In4.

Its energy of formation is -344.2 kJ/mol of formula units. For the total magnetization, the calculation gives 0.000 μB/f.u.

Cell: 4.7233 7.5668 15.5696 Å, 90.00 90.00 90.00°
Space group Immm (No. 71)
Symmetry-distinct sites (fractional):
Tb 0.0000 0.0000 0.0000
Tb 0.0000 0.5000 0.1190
Mg 0.0000 0.3039 0.3276
In 0.0000 0.0000 0.2161
In 0.0000 0.1944 0.5000

***

Record 28
DFT (GGA-PBE) results for a relaxed structure of TbMgIn.

Its energy of formation is 36.9 kJ/mol of formula units. For the total magnetization, the calculation gives 0.000 μB/f.u.

Cell: 3.3200 3.3200 27.1637 Å, 90.00 90.00 120.00°
Space group R3m (No. 160, hexagonal axes)
Symmetry-distinct sites (fractional):
Tb 0.0000 0.0000 0.0000
Mg 0.0000 0.0000 0.7691
In 0.0000 0.0000 0.8798